[1]
Here is an optimized crystal structure of Cs2TaBeI6 from the Alexandria database. Energies are from PBE.

Output
Calculated density, Mg/m³: 5.21
Space-group type: I4/mmm
Uncorrected formation energy, eV per atom: -0.5282

Cell: 8.0462 8.0462 8.2663 Å, 60.88 60.88 90.00°
Closest atoms and distances in Å follow each position.
Fractional positions:
I1 0.2556 0.2556 0.0000  1 Be 2.78, 1 Ta 2.91
Be1 0.5000 0.5000 0.0000  4 I 2.78
I2 0.2556 0.7444 0.0000  1 Be 2.78, 1 Ta 2.91
Cs1 0.7500 0.2500 0.5000  12 I 4.03-4.13
I3 0.7610 0.7610 0.4781  1 Ta 2.87, 1 Be 3.13
I4 0.7444 0.2556 0.0000  1 Be 2.78, 1 Ta 2.91
I5 0.2390 0.2390 0.5219  1 Ta 2.87, 1 Be 3.13
Ta1 0.0000 0.0000 0.0000  6 I 2.87-2.91
I6 0.7444 0.7444 0.0000  1 Be 2.78, 1 Ta 2.91
Cs2 0.2500 0.7500 0.5000  12 I 4.03-4.13

---

[2]
Here is an optimized crystal structure of Cs2BeTcI6 from the Alexandria database. Energies are from PBE.

Output
Calculated density, Mg/m³: 4.26
Space-group type: I4/mmm
Uncorrected formation energy, eV per atom: -0.5519

Cell: 8.8119 8.8119 8.4363 Å, 58.52 58.52 90.00°
Closest atoms and distances in Å follow each position.
Fractional positions:
I1 0.2195 0.2195 0.0000  1 Tc 2.74
I2 0.2195 0.7805 0.0000  1 Tc 2.74
I3 0.7805 0.7805 0.0000  1 Tc 2.74
Cs1 0.7500 0.2500 0.5000  12 I 4.24-4.45
Cs2 0.2500 0.7500 0.5000  12 I 4.24-4.45
I4 0.6970 0.6970 0.6060  1 Be 2.24
I5 0.3030 0.3030 0.3940  1 Be 2.24
Tc1 0.0000 0.0000 0.0000  4 I 2.74
Be1 0.5000 0.5000 0.0000  2 I 2.24
I6 0.7805 0.2195 0.0000  1 Tc 2.74

---

[3]
Here is an optimized crystal structure of CsBeTeI2 from the Alexandria database. Energies are from PBE.

Output
Calculated density, Mg/m³: 4.91
Space-group type: P4/mmm
Uncorrected formation energy, eV per atom: -0.4222

Cell: 6.0288 6.0288 4.8699 Å, 90.00 90.00 90.00°
Closest atoms and distances in Å follow each position.
Fractional positions:
Cs1 0.5000 0.5000 0.5000  8 I 3.87, 4 Te 4.26
I1 0.5000 0.0000 0.0000  2 Be 3.01
Te1 0.0000 0.0000 0.5000  2 Be 2.43
I2 0.0000 0.5000 0.0000  2 Be 3.01
Be1 0.0000 0.0000 0.0000  2 Te 2.43

---

[4]
Here is an optimized crystal structure of Cs2BeTeI6 from the Alexandria database. Energies are from PBE.

Output
Calculated density, Mg/m³: 3.94
Space-group type: I4/mmm
Uncorrected formation energy, eV per atom: -0.7215

Cell: 9.0345 9.0345 8.7665 Å, 58.98 58.98 90.00°
Closest atoms and distances in Å follow each position.
Fractional positions:
I1 0.7666 0.2334 0.0000  1 Te 2.98
Te1 0.0000 0.0000 0.0000  4 I 2.98
I2 0.2334 0.7666 0.0000  1 Te 2.98
I3 0.2334 0.2334 0.0000  1 Te 2.98
I4 0.3139 0.3139 0.3722  1 Be 2.23
Cs1 0.2500 0.7500 0.5000  12 I 4.39-4.58
Cs2 0.7500 0.2500 0.5000  12 I 4.39-4.58
I5 0.7666 0.7666 0.0000  1 Te 2.98
Be1 0.5000 0.5000 0.0000  2 I 2.23
I6 0.6861 0.6861 0.6278  1 Be 2.23